! Ge3RhS | Alexandria via LeMat-Bulk | PBE-GGA | relaxed; values from VASP
! total magnetization: 0.000 μB per cell
! energy above the most stable polymorph in this dataset: 716.2 meV/atom
! uncorrected formation energy: 833.8 meV per atom
&SYSTEM
  ibrav = 0, nat = 5, ntyp = 3
/
ATOMIC_SPECIES
Ge 72.64 Ge.upf
Rh 102.91 Rh.upf
S 32.06 S.upf
ATOMIC_POSITIONS angstrom
Ge 0.000 0.000 2.332
Ge 0.000 2.332 0.000
Ge 2.332 0.000 0.000
Rh 2.332 2.332 2.332
S 0.000 0.000 0.000
CELL_PARAMETERS angstrom
4.663 0.000 0.000
0.000 4.663 0.000
0.000 0.000 4.663


! GeRh3S | Alexandria via LeMat-Bulk | PBE-GGA | relaxed; values from VASP
! total magnetization: 2.086 μB per cell
! energy above the most stable polymorph in this dataset: 658.6 meV/atom
! uncorrected formation energy: 878.2 meV per atom
&SYSTEM
  ibrav = 0, nat = 5, ntyp = 3
/
ATOMIC_SPECIES
Ge 72.64 Ge.upf
Rh 102.91 Rh.upf
S 32.06 S.upf
ATOMIC_POSITIONS angstrom
Ge 0.000 0.000 0.000
Rh 0.000 0.000 2.283
Rh 0.000 2.283 0.000
Rh 2.283 0.000 0.000
S 2.283 2.283 2.283
CELL_PARAMETERS angstrom
4.565 0.000 0.000
0.000 4.565 0.000
0.000 0.000 4.565


! Ge3RhS | Alexandria via LeMat-Bulk | PBE-GGA | relaxed; values from VASP
! total magnetization: 0.000 μB per cell
! energy above the most stable polymorph in this dataset: 0.0 meV/atom
! uncorrected formation energy: 117.6 meV per atom
&SYSTEM
  ibrav = 0, nat = 5, ntyp = 3
/
ATOMIC_SPECIES
Ge 72.64 Ge.upf
Rh 102.91 Rh.upf
S 32.06 S.upf
ATOMIC_POSITIONS angstrom
Ge 0.000 0.000 2.381
Ge 0.000 2.381 0.000
Ge 2.381 0.000 0.000
Rh 0.000 0.000 0.000
S 2.381 2.381 2.381
CELL_PARAMETERS angstrom
4.763 0.000 0.000
0.000 4.763 0.000
0.000 0.000 4.763


Let's list DOS(E_F) in order: 0.777; 1.580; 0.592 states/eV per atom.